The following is a DFT calculation (PBE-GGA) of crystalline Pr3NdEr7 at its relaxed geometry.

Unit cell a=8.7302 b=7.0642 c=7.0642 alpha=120.00 beta=90.00 gamma=90.00
Fractional positions:
Pr 0.7846 0.5004 0.4996
Pr 0.7846 0.5004 0.0009
Pr 0.7846 0.9991 0.4996
Nd 0.4439 0.3333 0.6667
Er 0.1213 0.1669 0.8331
Er 0.1213 0.1669 0.3338
Er 0.1237 0.6667 0.3333
Er 0.4432 0.8326 0.1674
Er 0.4432 0.3348 0.1674
Er 0.4432 0.8326 0.6651
Er 0.1213 0.6662 0.8331

ΔE_f ... 0.18 eV per atom